[1]
Compound: ZnHgRu2
Source: the Alexandria database
Functional: PBE
Structure: optimized geometry

## Properties
V, Å³ per cell: 64
Total moment, μB per atom: 0.729
E_form, eV/atom: 0.473
E above lowest polymorph, eV per atom: 0.331
E_tot, eV/atom: -4.56

CIF file:
```
data_ZnHgRu2
_cell_length_a 4.956
_cell_length_b 4.956
_cell_length_c 4.956
_cell_angle_alpha 132.94
_cell_angle_beta 132.94
_cell_angle_gamma 68.74
_symmetry_space_group_name_H-M 'P 1'
_symmetry_Int_Tables_number 1
loop_
_symmetry_equiv_pos_as_xyz
'x,y,z'
loop_
_atom_site_label
_atom_site_fract_x
_atom_site_fract_y
_atom_site_fract_z
Hg1 0.750 0.250 0.500
Ru1 0.000 0.000 0.000
Ru2 0.500 0.500 0.000
Zn1 0.250 0.750 0.500
```

[2]
Compound: Mg2CuRh
Source: the Alexandria database
Functional: PBE
Structure: optimized geometry

## Properties
V, Å³ per cell: 62
Total moment, μB per atom: 0.000
E_form, eV/atom: -0.280
E_tot, eV/atom: -3.94

CIF file:
```
data_Mg2CuRh
_cell_length_a 5.277
_cell_length_b 5.277
_cell_length_c 5.277
_cell_angle_alpha 145.04
_cell_angle_beta 131.51
_cell_angle_gamma 61.16
_symmetry_space_group_name_H-M 'P 1'
_symmetry_Int_Tables_number 1
loop_
_symmetry_equiv_pos_as_xyz
'x,y,z'
loop_
_atom_site_label
_atom_site_fract_x
_atom_site_fract_y
_atom_site_fract_z
Mg1 0.013 0.013 0.000
Mg2 0.737 0.237 0.500
Rh1 0.490 0.490 0.000
Cu1 0.260 0.760 0.500
```

[3]
Compound: KLi2Co
Source: the Alexandria database
Functional: PBE
Structure: optimized geometry

## Properties
V, Å³ per cell: 92
Total moment, μB per atom: 0.326
E_form, eV/atom: 0.528
E above lowest polymorph, eV per atom: 0.005
E_tot, eV/atom: -2.48

CIF file:
```
data_KLi2Co
_cell_length_a 2.861
_cell_length_b 4.074
_cell_length_c 7.926
_cell_angle_alpha 90.00
_cell_angle_beta 90.00
_cell_angle_gamma 90.00
_symmetry_space_group_name_H-M 'P 1'
_symmetry_Int_Tables_number 1
loop_
_symmetry_equiv_pos_as_xyz
'x,y,z'
loop_
_atom_site_label
_atom_site_fract_x
_atom_site_fract_y
_atom_site_fract_z
Co1 0.000 0.000 0.406
K1 0.500 0.500 0.708
Li1 0.000 0.000 0.095
Li2 0.500 0.500 0.291
```

[4]
Compound: Y3Ga5Se12
Source: the Alexandria database
Functional: PBE
Structure: optimized geometry

## Properties
V, Å³ per cell: 2009
Total moment, μB per atom: 0.000
E_tot, eV/atom: -4.82

CIF file:
```
data_Y3Ga5Se12
_cell_length_a 13.768
_cell_length_b 13.768
_cell_length_c 13.768
_cell_angle_alpha 109.47
_cell_angle_beta 109.47
_cell_angle_gamma 109.47
_symmetry_space_group_name_H-M 'P 1'
_symmetry_Int_Tables_number 1
loop_
_symmetry_equiv_pos_as_xyz
'x,y,z'
loop_
_atom_site_label
_atom_site_fract_x
_atom_site_fract_y
_atom_site_fract_z
Y1 0.750 0.375 0.125
Y2 0.875 0.750 0.125
Y3 0.375 0.750 0.625
Y4 0.250 0.125 0.375
Y5 0.875 0.125 0.250
Y6 0.375 0.625 0.250
Y7 0.625 0.375 0.750
Y8 0.125 0.875 0.750
Y9 0.750 0.875 0.625
Y10 0.625 0.250 0.375
Y11 0.125 0.250 0.875
Y12 0.250 0.625 0.875
Ga1 0.125 0.375 0.250
Ga2 0.000 0.500 0.000
Ga3 0.000 0.000 0.000
Ga4 0.375 0.250 0.125
Ga5 0.500 0.000 0.500
Ga6 0.500 0.500 0.000
Ga7 0.125 0.750 0.375
Ga8 0.750 0.125 0.875
Ga9 0.750 0.625 0.375
Ga10 0.375 0.125 0.750
Ga11 0.625 0.875 0.250
Ga12 0.500 0.500 0.500
Ga13 0.500 0.000 0.000
Ga14 0.000 0.000 0.500
Ga15 0.250 0.375 0.625
Ga16 0.250 0.875 0.125
Ga17 0.000 0.500 0.500
Ga18 0.875 0.250 0.625
Ga19 0.625 0.750 0.875
Ga20 0.875 0.625 0.750
Se1 0.711 0.126 0.035
Se2 0.324 0.535 0.409
Se3 0.965 0.374 0.289
Se4 0.535 0.211 0.126
Se5 0.585 0.711 0.676
Se6 0.965 0.591 0.176
Se7 0.324 0.789 0.415
Se8 0.091 0.915 0.126
Se9 0.591 0.965 0.676
Se10 0.711 0.585 0.176
Se11 0.789 0.465 0.374
Se12 0.824 0.909 0.035
Se13 0.126 0.711 0.535
Se14 0.374 0.409 0.085
Se15 0.085 0.909 0.374
Se16 0.415 0.126 0.591
Se17 0.085 0.176 0.211
Se18 0.465 0.676 0.091
Se19 0.824 0.915 0.289
Se20 0.126 0.415 0.091
Se21 0.374 0.965 0.789
Se22 0.591 0.626 0.415
Se23 0.909 0.824 0.535
Se24 0.789 0.324 0.915
Se25 0.409 0.374 0.585
Se26 0.091 0.176 0.465
Se27 0.211 0.676 0.085
Se28 0.176 0.085 0.711
Se29 0.626 0.035 0.211
Se30 0.874 0.585 0.909
Se31 0.535 0.324 0.909
Se32 0.585 0.874 0.409
Se33 0.915 0.824 0.789
Se34 0.915 0.091 0.626
Se35 0.874 0.289 0.465
Se36 0.176 0.091 0.965
Se37 0.626 0.591 0.915
Se38 0.409 0.035 0.324
Se39 0.289 0.415 0.824
Se40 0.211 0.535 0.626
Se41 0.909 0.085 0.874
Se42 0.676 0.211 0.585
Se43 0.465 0.789 0.874
Se44 0.035 0.409 0.824
Se45 0.415 0.289 0.324
Se46 0.035 0.626 0.711
Se47 0.676 0.465 0.591
Se48 0.289 0.874 0.965
```

[5]
Compound: Ag5PbCl7
Source: the Alexandria database
Functional: PBE
Structure: optimized geometry

## Properties
V, Å³ per cell: 614
Total moment, μB per atom: 0.000
E_tot, eV/atom: -2.96

CIF file:
```
data_Ag5PbCl7
_cell_length_a 4.020
_cell_length_b 6.854
_cell_length_c 23.311
_cell_angle_alpha 88.05
_cell_angle_beta 90.00
_cell_angle_gamma 107.05
_symmetry_space_group_name_H-M 'P 1'
_symmetry_Int_Tables_number 1
loop_
_symmetry_equiv_pos_as_xyz
'x,y,z'
loop_
_atom_site_label
_atom_site_fract_x
_atom_site_fract_y
_atom_site_fract_z
Ag1 0.002 0.005 0.001
Ag2 0.724 0.449 0.930
Ag3 0.281 0.562 0.070
Ag4 0.542 0.085 0.358
Ag5 0.454 0.909 0.642
Ag6 0.997 0.994 0.500
Ag7 0.275 0.549 0.429
Ag8 0.721 0.442 0.572
Ag9 0.463 0.925 0.856
Ag10 0.542 0.083 0.144
Pb1 0.794 0.589 0.245
Pb2 0.207 0.413 0.757
Cl1 0.453 0.905 0.252
Cl2 0.549 0.098 0.747
Cl3 0.634 0.267 0.032
Cl4 0.373 0.745 0.968
Cl5 0.359 0.717 0.537
Cl6 0.636 0.271 0.462
Cl7 0.182 0.364 0.171
Cl8 0.822 0.644 0.829
Cl9 0.811 0.621 0.678
Cl10 0.188 0.377 0.321
Cl11 0.908 0.815 0.117
Cl12 0.098 0.196 0.882
Cl13 0.085 0.170 0.606
Cl14 0.910 0.820 0.393
```

[6]
Compound: PmThPa2As4
Source: the Alexandria database
Functional: PBE
Structure: optimized geometry

## Properties
V, Å³ per cell: 205
Total moment, μB per atom: 0.000
E_form, eV/atom: -1.251
E_tot, eV/atom: -7.47

CIF file:
```
data_PmThPa2As4
_cell_length_a 4.169
_cell_length_b 7.210
_cell_length_c 7.220
_cell_angle_alpha 70.49
_cell_angle_beta 90.00
_cell_angle_gamma 90.00
_symmetry_space_group_name_H-M 'P 1'
_symmetry_Int_Tables_number 1
loop_
_symmetry_equiv_pos_as_xyz
'x,y,z'
loop_
_atom_site_label
_atom_site_fract_x
_atom_site_fract_y
_atom_site_fract_z
Pm1 0.500 0.500 0.000
Th1 0.000 0.500 0.500
Pa1 0.000 0.000 0.000
Pa2 0.500 0.000 0.500
As1 0.000 0.762 0.747
As2 0.000 0.238 0.253
As3 0.500 0.762 0.245
As4 0.500 0.238 0.755
```